(1)
First-principles (GGA-PBE) data for an optimized crystal structure of Na5Si2As4, as listed in the Alexandria database.

Properties
- Total moment: 0.001 μB per atom
- ΔE_f (raw): -3.20 eV/f.u.
- Density: 2.79 Mg/m³
- DOS(E_F): 3.430 states/eV/f.u.

Lattice parameters (Å, degrees): 3.788 9.055 9.027 111.83 102.11 90.00
Fractional coordinates of all 11 atoms:
As  0.691  0.707  0.382
As  0.309  0.293  0.618
As  0.997  0.244  0.994
As  0.003  0.756  0.006
Na  0.167  0.441  0.333
Na  0.500  0.000  0.000
Na  0.827  0.050  0.653
Na  0.833  0.559  0.667
Na  0.173  0.950  0.347
Si  0.545  0.639  0.091
Si  0.455  0.361  0.909

***

(2)
First-principles (GGA-PBE) data for an optimized crystal structure of Na2SiAs, as listed in the Alexandria database.

Properties
- Total moment: 0.000 μB per atom
- ΔE_f (raw): 0.08 eV/f.u.
- Offset from the most stable computed form: 0 meV per atom
- Density: 2.37 Mg/m³
- DOS(E_F): 1.649 states/eV/f.u.

Lattice parameters (Å, degrees): 5.949 8.347 9.323 115.36 90.00 90.00
Fractional coordinates of all 16 atoms:
Si  0.826  0.003  0.427
Si  0.674  0.503  0.427
Si  0.326  0.497  0.573
Si  0.174  0.997  0.573
Na  0.240  0.393  0.831
Na  0.251  0.329  0.213
Na  0.260  0.893  0.831
Na  0.751  0.171  0.787
Na  0.760  0.607  0.169
Na  0.749  0.671  0.787
Na  0.249  0.829  0.213
Na  0.740  0.107  0.169
As  0.922  0.336  0.530
As  0.578  0.836  0.530
As  0.422  0.164  0.470
As  0.078  0.664  0.470

***

(3)
First-principles (GGA-PBE) data for an optimized crystal structure of NaSi2As2, as listed in the Alexandria database.

Properties
- Total moment: 0.000 μB per atom
- ΔE_f (raw): 0.60 eV/f.u.
- Density: 3.18 Mg/m³
- DOS(E_F): 1.604 states/eV/f.u.

Lattice parameters (Å, degrees): 4.494 4.494 6.728 70.49 70.49 90.00
Fractional coordinates of all 5 atoms:
Si  0.750  0.250  0.500
Si  0.250  0.750  0.500
As  0.351  0.351  0.298
As  0.649  0.649  0.702
Na  0.000  0.000  0.000

***

(4)
First-principles (GGA-PBE) data for an optimized crystal structure of Na5SiAs3, as listed in the Alexandria database.

Properties
- Total moment: 0.000 μB per atom
- ΔE_f (raw): -3.83 eV/f.u.
- Density: 2.89 Mg/m³

Lattice parameters (Å, degrees): 7.571 8.262 15.788 58.89 90.00 90.00
Fractional coordinates of all 36 atoms:
As  0.184  0.477  0.934
As  0.235  0.193  0.224
As  0.735  0.807  0.276
As  0.265  0.193  0.724
As  0.816  0.523  0.066
As  0.761  0.240  0.420
As  0.316  0.477  0.434
As  0.765  0.807  0.776
As  0.684  0.523  0.566
As  0.261  0.760  0.080
As  0.739  0.240  0.920
As  0.239  0.760  0.580
Na  0.967  0.252  0.584
Na  0.350  0.834  0.241
Na  0.467  0.748  0.916
Na  0.850  0.166  0.259
Na  0.018  0.088  0.087
Na  0.337  0.158  0.919
Na  0.837  0.842  0.581
Na  0.518  0.912  0.413
Na  0.482  0.088  0.587
Na  0.494  0.439  0.243
Na  0.006  0.439  0.743
Na  0.663  0.842  0.081
Na  0.994  0.561  0.257
Na  0.533  0.252  0.084
Na  0.150  0.834  0.741
Na  0.982  0.912  0.913
Na  0.033  0.748  0.416
Na  0.506  0.561  0.757
Na  0.163  0.158  0.419
Na  0.650  0.166  0.759
Si  0.140  0.486  0.085
Si  0.640  0.514  0.415
Si  0.360  0.486  0.585
Si  0.860  0.514  0.915

***

(5)
First-principles (GGA-PBE) data for an optimized crystal structure of Na3SiAs3, as listed in the Alexandria database.

Properties
- Total moment: 0.000 μB per atom
- ΔE_f (raw): -1.17 eV/f.u.
- Density: 3.15 Mg/m³
- DOS(E_F): 2.565 states/eV/f.u.

Lattice parameters (Å, degrees): 6.065 6.029 6.029 109.35 109.59 109.59
Fractional coordinates of all 7 atoms:
As  0.486  0.410  0.000
As  0.486  0.000  0.410
As  0.076  0.590  0.590
Na  0.986  0.000  0.420
Na  0.566  0.580  0.580
Na  0.986  0.420  0.000
Si  0.390  0.000  0.000

***

(6)
First-principles (GGA-PBE) data for an optimized crystal structure of Na3SiAs, as listed in the Alexandria database.

Properties
- Total moment: 0.000 μB per atom
- ΔE_f (raw): -0.25 eV/f.u.
- Offset from the most stable computed form: 0 meV per atom
- Density: 2.23 Mg/m³
- DOS(E_F): 1.601 states/eV/f.u.

Lattice parameters (Å, degrees): 7.206 7.206 7.206 92.44 108.18 130.20
Fractional coordinates of all 10 atoms:
Na  0.984  0.746  0.265
Na  0.481  0.719  0.735
Na  0.009  0.230  0.278
Na  0.984  0.219  0.738
Na  0.481  0.246  0.262
Na  0.952  0.730  0.722
Si  0.294  0.733  0.062
Si  0.671  0.233  0.938
As  0.570  0.731  0.339
As  0.392  0.231  0.661

***

(7)
First-principles (GGA-PBE) data for an optimized crystal structure of NaSiAs4, as listed in the Alexandria database.

Properties
- Total moment: 0.000 μB per atom
- ΔE_f (raw): 0.58 eV/f.u.
- Density: 3.97 Mg/m³
- DOS(E_F): 2.053 states/eV/f.u.

Lattice parameters (Å, degrees): 5.174 7.771 8.290 117.95 93.56 90.00
Fractional coordinates of all 12 atoms:
Si  0.749  0.422  0.844
Si  0.251  0.578  0.156
As  0.000  0.728  0.000
As  0.349  0.525  0.725
As  0.000  0.272  0.000
As  0.719  0.261  0.522
As  0.281  0.739  0.478
As  0.349  0.200  0.725
As  0.651  0.475  0.275
As  0.651  0.800  0.275
Na  0.805  0.849  0.697
Na  0.195  0.151  0.303

***

(8)
First-principles (GGA-PBE) data for an optimized crystal structure of NaSi2As2, as listed in the Alexandria database.

Properties
- Total moment: 0.000 μB per atom
- ΔE_f (raw): -0.12 eV/f.u.
- Density: 3.88 Mg/m³
- DOS(E_F): 0.980 states/eV/f.u.

Lattice parameters (Å, degrees): 4.844 4.844 5.399 63.35 63.35 90.00
Fractional coordinates of all 5 atoms:
As  0.750  0.250  0.500
As  0.250  0.750  0.500
Si  0.647  0.647  0.706
Si  0.353  0.353  0.294
Na  0.000  0.000  0.000

***

So what do the calculations give for calculated volume? Going down the list: 279.99; 104.58; 119.75; 211.36; 169.45; 127.86; 146.83; 97.91 Å³/f.u..